DFT (GGA-PBE) results for crystalline BaSiPt2 at its relaxed geometry.

ΔE_f (raw)   -766 meV per atom

Cell lengths 4.4134, 4.8693, 4.8482 Å; angles 90.00, 90.00, 90.00 degrees
With the nearest neighbours (Å) after each atom.
Atoms (fractional coordinates):
Ba  0.0000  0.0000  0.0000  8 Pt 3.35-3.48, 4 Si 3.67
Si  0.5000  0.5000  0.3392  4 Pt 2.32-2.53
Pt  0.0000  0.5000  0.5132  2 Si 2.36
Pt  0.5000  0.5000  0.8605  2 Si 2.32-2.53